# 1
Here is a relaxed ErTiW crystal from the Alexandria database. Energies are from GGA-PBE.

ΔH_f (0 K): 1.0 eV/f.u.

Cell lengths 5.1871, 5.1871, 5.8938 Å; angles 105.63, 105.63, 112.80 degrees
Last column: nearest neighbours and their distance in Å.
Atoms (fractional coordinates):
Er (0.6777, 0.3223, 0.0000)  4 W 3.01, 3 Er 3.07-3.13, 2 Ti 3.32
Er (0.3223, 0.6777, 0.0000)  4 W 3.01, 3 Er 3.07-3.13, 2 Ti 3.32
Ti (0.8246, 0.8246, 0.6491)  4 W 2.70
Ti (0.1754, 0.1754, 0.3509)  4 W 2.70
W (0.7500, 0.2500, 0.5000)  4 Ti 2.70, 2 W 2.87, 4 Er 3.01
W (0.2500, 0.7500, 0.5000)  4 Ti 2.70, 2 W 2.87, 4 Er 3.01



# 2
Here is a relaxed Te2Pt2Au crystal from the Alexandria database. Energies are from GGA-PBE.

E_form (uncorrected): 47 meV/atom

Cell lengths 5.2483, 5.2483, 5.5326 Å; angles 61.69, 61.69, 90.00 degrees
Last column: nearest neighbours and their distance in Å.
Atoms (fractional coordinates):
Te (0.7500, 0.2500, 0.5000)  4 Pt 2.72
Te (0.2500, 0.7500, 0.5000)  4 Pt 2.72
Au (0.0000, 0.0000, 0.0000)  2 Pt 2.78
Pt (0.3383, 0.3383, 0.3233)  1 Pt 2.65, 4 Te 2.72, 1 Au 2.78
Pt (0.6617, 0.6617, 0.6767)  1 Pt 2.65, 4 Te 2.72, 1 Au 2.78



# 3
Here is a relaxed KMgRu2 crystal from the Alexandria database. Energies are from GGA-PBE.

ΔH_f (0 K): 4.0 eV/f.u.

Cell lengths 5.6636, 5.6636, 2.5974 Å; angles 90.00, 90.00, 117.90 degrees
Last column: nearest neighbours and their distance in Å.
Atoms (fractional coordinates):
K (0.5000, 0.0000, 0.5000)  2 K 2.60
Mg (0.0000, 0.5000, 0.5000)  2 Mg 2.60
Ru (0.0000, 0.0000, 0.0000)  2 Ru 2.60
Ru (0.5000, 0.5000, 0.0000)  2 Ru 2.60



# 4
Here is a relaxed B2C crystal from the Alexandria database. Energies are from GGA-PBE.

Excess energy over the best structure of this formula in the dataset: 245 meV/atom
ΔH_f (0 K): 1.3 eV/f.u.

Cell lengths 2.7123, 2.7123, 14.3299 Å; angles 90.00, 90.00, 120.00 degrees
Last column: nearest neighbours and their distance in Å.
Atoms (fractional coordinates):
B (0.6667, 0.3333, 0.7924)  7 B 1.70-1.87
B (0.0000, 0.0000, 0.8603)  1 C 1.58
B (0.3333, 0.6667, 0.7210)  7 B 1.69-1.87
B (0.6667, 0.3333, 0.6739)  7 B 1.70-1.87
B (0.6667, 0.3333, 0.4138)  3 C 1.57
B (0.0000, 0.0000, 0.5314)  1 C 1.58
B (0.3333, 0.6667, 0.6028)  7 B 1.69-1.87
B (0.6667, 0.3333, 0.1347)  3 C 1.58
C (0.0000, 0.0000, 0.4215)  4 B 1.57-1.58
C (0.3333, 0.6667, 0.1213)  3 B 1.58, 1 C 1.65
C (0.0000, 0.0000, 0.9705)  1 B 1.58, 3 C 1.65
C (0.3333, 0.6667, 0.0065)  4 C 1.65



# 5
Here is a relaxed SmTmSc2 crystal from the Alexandria database. Energies are from GGA-PBE.

Excess energy over the best structure of this formula in the dataset: 31 meV/atom
ΔH_f (0 K): 0.3 eV/f.u.

Cell lengths 3.8662, 3.8662, 7.5133 Å; angles 90.00, 90.00, 90.00 degrees
Last column: nearest neighbours and their distance in Å.
Atoms (fractional coordinates):
Sc (0.0000, 0.0000, 0.7584)  4 Tm 3.28, 4 Sm 3.35, 1 Sc 3.63
Sc (0.0000, 0.0000, 0.2416)  4 Tm 3.28, 4 Sm 3.35, 1 Sc 3.63
Tm (0.5000, 0.5000, 0.0000)  8 Sc 3.28
Sm (0.5000, 0.5000, 0.5000)  8 Sc 3.35



# 6
Here is a relaxed Na2TiGe2 crystal from the Alexandria database. Energies are from GGA-PBE.

ΔH_f (0 K): 0.4 eV/f.u.

Cell lengths 6.8342, 6.8342, 4.8250 Å; angles 90.00, 90.00, 90.00 degrees
Last column: nearest neighbours and their distance in Å.
Atoms (fractional coordinates):
Na (0.1709, 0.6709, 0.5000)  6 Ge 3.06-3.20, 1 Na 3.30
Na (0.6709, 0.8291, 0.5000)  6 Ge 3.06-3.20, 1 Na 3.30
Na (0.8291, 0.3291, 0.5000)  6 Ge 3.06-3.20, 1 Na 3.30
Na (0.3291, 0.1709, 0.5000)  6 Ge 3.06-3.20, 1 Na 3.30
Ge (0.3662, 0.8662, 0.0000)  1 Ge 2.59, 2 Ti 2.66
Ge (0.8662, 0.6338, 0.0000)  1 Ge 2.59, 2 Ti 2.66
Ge (0.6338, 0.1338, 0.0000)  1 Ge 2.59, 2 Ti 2.66
Ge (0.1338, 0.3662, 0.0000)  1 Ge 2.59, 2 Ti 2.66
Ti (0.0000, 0.0000, 0.0000)  4 Ge 2.66
Ti (0.5000, 0.5000, 0.0000)  4 Ge 2.66



# 7
Here is a relaxed Tm4In crystal from the Alexandria database. Energies are from GGA-PBE.

Excess energy over the best structure of this formula in the dataset: 0 meV/atom
ΔH_f (0 K): -0.6 eV/f.u.

Cell lengths 5.1600, 6.6704, 9.1402 Å; angles 111.40, 106.40, 90.00 degrees
Last column: nearest neighbours and their distance in Å.
Atoms (fractional coordinates):
Tm (0.1063, 0.3563, 0.2125)  3 In 3.34-3.53, 10 Tm 3.42-3.62
Tm (0.8937, 0.6437, 0.7875)  3 In 3.34-3.53, 10 Tm 3.42-3.62
Tm (0.5000, 0.0000, 0.0000)  8 Tm 3.19-3.52, 4 In 3.56
Tm (0.5000, 0.5000, 0.0000)  8 Tm 3.19-3.52, 4 In 3.56
Tm (0.6968, 0.1928, 0.3936)  7 Tm 3.10-3.42, 2 In 3.36
Tm (0.3032, 0.8072, 0.6064)  7 Tm 3.10-3.42, 2 In 3.36
Tm (0.3032, 0.2993, 0.6064)  7 Tm 3.10-3.42, 2 In 3.36
Tm (0.6968, 0.7007, 0.3936)  7 Tm 3.10-3.42, 2 In 3.36
In (0.8889, 0.1389, 0.7778)  13 Tm 3.34-3.56
In (0.1111, 0.8611, 0.2222)  13 Tm 3.34-3.56



# 8
Here is a relaxed HoZnCd2 crystal from the Alexandria database. Energies are from GGA-PBE.

ΔH_f (0 K): -0.9 eV/f.u.

Cell lengths 4.7495, 4.3477, 4.3477 Å; angles 90.00, 90.00, 90.00 degrees
Last column: nearest neighbours and their distance in Å.
Atoms (fractional coordinates):
Zn (0.5000, 0.0000, 0.0000)  4 Ho 3.07, 8 Cd 3.22
Ho (0.5000, 0.5000, 0.5000)  4 Zn 3.07, 8 Cd 3.22
Cd (0.0000, 0.0000, 0.5000)  4 Cd 3.07, 4 Ho 3.22, 4 Zn 3.22
Cd (0.0000, 0.5000, 0.0000)  4 Cd 3.07, 4 Ho 3.22, 4 Zn 3.22



# 9
Here is a relaxed CsTi2F8 crystal from the Alexandria database. Energies are from GGA-PBE.

E_form (uncorrected): -3096 meV/atom
Excess energy over the best structure of this formula in the dataset: 179 meV/atom

Cell lengths 4.9048, 4.9048, 7.2618 Å; angles 90.00, 90.00, 90.00 degrees
Last column: nearest neighbours and their distance in Å.
Atoms (fractional coordinates):
Cs (0.5000, 0.5000, 0.5000)  8 F 3.04
Ti (0.5000, 0.0000, 0.0000)  8 F 2.08
Ti (0.0000, 0.5000, 0.0000)  8 F 2.08
F (0.7503, 0.7503, 0.1571)  2 Ti 2.08, 1 F 2.28
F (0.7503, 0.2497, 0.8429)  2 Ti 2.08, 1 F 2.28
F (0.7503, 0.7503, 0.8429)  2 Ti 2.08, 1 F 2.28
F (0.7503, 0.2497, 0.1571)  2 Ti 2.08, 1 F 2.28
F (0.2497, 0.7503, 0.1571)  2 Ti 2.08, 1 F 2.28
F (0.2497, 0.7503, 0.8429)  2 Ti 2.08, 1 F 2.28
F (0.2497, 0.2497, 0.1571)  2 Ti 2.08, 1 F 2.28
F (0.2497, 0.2497, 0.8429)  2 Ti 2.08, 1 F 2.28



# 10
Here is a relaxed Ac2NiH6Ir crystal from the Alexandria database. Energies are from GGA-PBE.

VASP energy: -4.73 eV per atom

Cell lengths 5.2477, 5.2477, 5.6632 Å; angles 117.63, 117.63, 89.99 degrees
Last column: nearest neighbours and their distance in Å.
Atoms (fractional coordinates):
Ac (0.7499, 0.2504, 0.4998)  12 H 2.68-2.83
Ac (0.2500, 0.7504, 0.4999)  12 H 2.68-2.83
Ni (0.9999, 0.0004, 0.9997)  2 H 1.61
H (0.7382, 0.7387, 0.9995)  1 Ir 1.77, 1 Ni 1.94
H (0.8116, 0.8121, 0.6231)  1 Ni 1.61
H (0.2616, 0.2621, 0.0001)  1 Ir 1.77, 1 Ni 1.94
H (0.7383, 0.2620, 0.9998)  1 Ir 1.77, 1 Ni 1.94
H (0.1881, 0.1885, 0.3762)  1 Ni 1.61
H (0.2615, 0.7388, 0.9998)  1 Ir 1.77, 1 Ni 1.94
Ir (0.4999, 0.5004, 0.9998)  4 H 1.77



# 11
Here is a relaxed Ba2ZnCr crystal from the Alexandria database. Energies are from GGA-PBE.

ΔH_f (0 K): 2.4 eV/f.u.

Cell lengths 9.0791, 9.0791, 7.4214 Å; angles 52.29, 52.29, 90.00 degrees
Last column: nearest neighbours and their distance in Å.
Atoms (fractional coordinates):
Cr (0.5000, 0.5000, 0.0000)  4 Ba 3.40, 2 Zn 3.72
Cr (0.2500, 0.7500, 0.5000)  4 Ba 3.40, 2 Zn 3.72
Zn (0.0000, 0.0000, 0.0000)  4 Ba 3.28
Zn (0.7500, 0.2500, 0.5000)  4 Ba 3.28
Ba (0.6349, 0.1250, 0.2500)  2 Zn 3.28, 2 Cr 3.40
Ba (0.1151, 0.6250, 0.2500)  2 Zn 3.28, 2 Cr 3.40
Ba (0.3750, 0.3651, 0.7500)  2 Zn 3.28, 2 Cr 3.40
Ba (0.8750, 0.8849, 0.7500)  2 Zn 3.28, 2 Cr 3.40



# 12
Here is a relaxed GaHg2Pd6 crystal from the Alexandria database. Energies are from GGA-PBE.

ΔH_f (0 K): -1.6 eV/f.u.

Cell lengths 2.9130, 7.6754, 8.0900 Å; angles 118.32, 100.00, 90.00 degrees
Last column: nearest neighbours and their distance in Å.
Atoms (fractional coordinates):
Ga (0.0000, 0.0000, 0.0000)  8 Pd 2.55-2.70
Hg (0.6552, 0.6582, 0.3164)  8 Pd 2.82-2.86, 2 Hg 2.91
Hg (0.3448, 0.3418, 0.6836)  8 Pd 2.82-2.86, 2 Hg 2.91
Pd (0.1638, 0.3468, 0.3325)  1 Ga 2.70, 7 Pd 2.77-2.97, 3 Hg 2.82-2.86
Pd (0.8362, 0.0143, 0.6675)  1 Ga 2.70, 7 Pd 2.77-2.97, 3 Hg 2.82-2.86
Pd (0.8362, 0.6532, 0.6675)  1 Ga 2.70, 7 Pd 2.77-2.97, 3 Hg 2.82-2.86
Pd (0.5000, 0.2726, 0.0000)  2 Ga 2.55, 2 Hg 2.82, 4 Pd 2.82-2.84
Pd (0.1638, 0.9857, 0.3325)  1 Ga 2.70, 7 Pd 2.77-2.97, 3 Hg 2.82-2.86
Pd (0.5000, 0.7274, 0.0000)  2 Ga 2.55, 2 Hg 2.82, 4 Pd 2.82-2.84